Density functional theory data (PBE) for an optimized crystal structure of Na6Au7.

Cell lengths 5.622, 5.622, 10.816 Å; angles 74.94, 74.94, 60.00 degrees
Fractional coordinates of all 13 atoms:
Au (0.089, 0.089, 0.233)
Au (0.911, 0.412, 0.767)
Au (0.000, 0.000, 0.000)
Na (0.346, 0.346, 0.961)
Au (0.412, 0.911, 0.767)
Na (0.447, 0.447, 0.658)
Na (0.654, 0.654, 0.039)
Na (0.833, 0.833, 0.501)
Au (0.911, 0.911, 0.767)
Au (0.588, 0.089, 0.233)
Na (0.167, 0.167, 0.499)
Au (0.089, 0.588, 0.233)
Na (0.553, 0.553, 0.342)

Fermi-level density of states in states/eV/atom: 0.258
Space group: R-3m
Calculated formation energy in kJ per mole of atoms: -32